Computed, not measured: crystalline CoSI2F at its relaxed geometry at the GGA-PBEsol level of DFT.

abc: 5.445 5.445 4.137
angles: 90.00 90.00 90.00
Space group P4/mmm (No. 123)
Symmetry-distinct sites (fractional):
Co 0.000 0.000 0.000 x1
S 0.000 0.000 0.500 x1
I 0.000 0.500 0.500 x2
F 0.500 0.500 0.000 x1

Computed properties:
raw formation energy = 0.3513 eV per atom
N(E_F) = 7.8 states/eV/f.u.
magnetization = 2.594 μB/f.u.
theoretical density = 4925 kg/m³